# 1
Material: ThInHg2
Method: DFT, PBE
State: optimized geometry

Unit cell a=4.719 b=4.706 c=4.706 alpha=90.00 beta=90.00 gamma=90.00
Positions (direct):
Th: 0.500 0.500 0.500
Hg: 0.000 0.000 0.500
Hg: 0.000 0.500 0.000
In: 0.500 0.000 0.000

## Properties
SG: No. 123
Volume (A^3/atom): 26.12
Spin magnetization (μB per formula unit): 0.00
Energy relative to the elements (eV per atom): -0.24

# 2
Material: Ga3HPt
Method: DFT, PBE
State: optimized geometry

Unit cell a=4.819 b=4.819 c=4.819 alpha=90.00 beta=90.00 gamma=90.00
Positions (direct):
Ga: 0.000 0.500 0.000
Ga: 0.000 0.000 0.500
Ga: 0.500 0.000 0.000
Pt: 0.000 0.000 0.000
H: 0.500 0.500 0.500

## Properties
SG: No. 221
Volume (A^3/atom): 22.39
Distance to the lowest polymorph of the same formula (eV/f.u.): 0.00
Spin magnetization (μB per formula unit): 0.00

# 3
Material: HgSbTe2
Method: DFT, PBE
State: optimized geometry

Unit cell a=7.168 b=7.168 c=6.343 alpha=115.12 beta=115.12 gamma=24.79
Positions (direct):
Sb: 0.247 0.247 0.246
Te: 0.016 0.016 0.018
Te: 0.744 0.744 0.739
Hg: 0.493 0.493 0.496

## Properties
E_form (uncorrected) (eV/atom): 0.0971
SG: No. 8
Volume (A^3/atom): 30.77
Distance to the lowest polymorph of the same formula (eV/f.u.): 0.71
Spin magnetization (μB per formula unit): 0.00

# 4
Material: CaY2BiH
Method: DFT, PBE
State: optimized geometry

Unit cell a=4.817 b=4.817 c=5.158 alpha=90.00 beta=90.00 gamma=90.00
Each line ends with the local moment (μB).
Positions (direct):
Y: 0.500 0.000 0.000  0.34
Y: 0.000 0.500 0.000  0.34
H: 0.000 0.000 0.000  -0.01
Ca: 0.000 0.000 0.500  0.09
Bi: 0.500 0.500 0.500  -0.01

## Properties
E_tot (eV for the cell shown): -24.1
SG: No. 123
Volume (A^3/atom): 23.94
Spin magnetization (μB per formula unit): 1.45